10
Lattice="3.720 0.000 0.000 -1.860 5.291 0.000 0.000 0.000 7.087" Properties=species:S:1:pos:R:3 comment="HoAlFe2C (PBE, optimized geometry)" dos_ef_per_ev_atom=0.670 spacegroup="Cmcm (63)" e_tot_ev_per_atom=-7.17 formation_energy_ev_per_atom=-0.273 density_g_cm3=7.514 m_tot_mub_per_fu=2.1 pbc="T T T"
Fe 0.000 1.748 3.944
Fe 0.000 1.748 6.687
Al 0.000 2.826 1.772
Fe 1.860 3.543 0.400
Al 1.860 2.465 5.315
C 0.000 0.000 3.544
Ho 1.860 0.472 1.772
Ho 0.000 4.819 5.315
Fe 1.860 3.543 3.143
C 0.000 0.000 0.000